1.
{
  "formula": "NiAsW4C2",
  "functional": "GGA-PBE",
  "state": "relaxed",
  "e_tot_ev_per_cell": -78.76,
  "mass_density_g_cm3": 14.04,
  "magmom_total_mub_per_cell": 0.03,
  "lattice": [[3.1190, 0.0000, 0.0000], [-1.5595, 2.7011, 0.0000], [0.0000, 0.0000, 12.5366]],
  "species": ["Ni", "As", "W", "W", "W", "W", "C", "C"],
  "frac_coords": [[0.0000, 0.0000, 0.0000], [0.3333, 0.6667, 0.5000], [0.0000, 0.0000, 0.3393], [0.0000, 0.0000, 0.6607], [0.3333, 0.6667, 0.1555], [0.3333, 0.6667, 0.8445], [0.6667, 0.3333, 0.2466], [0.6667, 0.3333, 0.7534]]
}

2.
{
  "formula": "Y4NiAsC2",
  "functional": "GGA-PBE",
  "state": "relaxed",
  "e_tot_ev_per_cell": -58.08,
  "mass_density_g_cm3": 5.40,
  "magmom_total_mub_per_cell": 0.01,
  "lattice": [[3.6532, 0.0000, 0.0000], [-1.8266, 3.1638, 0.0000], [0.0000, 0.0000, 13.6455]],
  "species": ["Y", "Y", "Y", "Y", "Ni", "As", "C", "C"],
  "frac_coords": [[0.0000, 0.0000, 0.1441], [0.0000, 0.0000, 0.8559], [0.6667, 0.3333, 0.3432], [0.6667, 0.3333, 0.6568], [0.6667, 0.3333, 0.0000], [0.0000, 0.0000, 0.5000], [0.3333, 0.6667, 0.2438], [0.3333, 0.6667, 0.7562]]
}

3.
{
  "formula": "Zr4NiAsC2",
  "functional": "GGA-PBE",
  "state": "relaxed",
  "e_tot_ev_per_cell": -68.59,
  "mass_density_g_cm3": 6.75,
  "magmom_total_mub_per_cell": 0.01,
  "lattice": [[3.4138, 0.0000, 0.0000], [-1.7069, 2.9564, 0.0000], [0.0000, 0.0000, 12.7367]],
  "species": ["Zr", "Zr", "Zr", "Zr", "Ni", "As", "C", "C"],
  "frac_coords": [[0.0000, 0.0000, 0.1458], [0.0000, 0.0000, 0.8542], [0.3333, 0.6667, 0.3473], [0.3333, 0.6667, 0.6527], [0.3333, 0.6667, 0.0000], [0.0000, 0.0000, 0.5000], [0.6667, 0.3333, 0.2489], [0.6667, 0.3333, 0.7511]]
}

4.
{
  "formula": "Zr4NiAsC2",
  "functional": "GGA-PBE",
  "state": "relaxed",
  "e_tot_ev_per_cell": -68.59,
  "mass_density_g_cm3": 6.75,
  "magmom_total_mub_per_cell": 0.00,
  "lattice": [[3.4143, 0.0000, 0.0000], [-1.7071, 2.9568, 0.0000], [0.0000, 0.0000, 12.7423]],
  "species": ["Zr", "Zr", "Zr", "Zr", "Ni", "As", "C", "C"],
  "frac_coords": [[0.0000, 0.0000, 0.1459], [0.0000, 0.0000, 0.8541], [0.6667, 0.3333, 0.3472], [0.6667, 0.3333, 0.6528], [0.6667, 0.3333, 0.0000], [0.0000, 0.0000, 0.5000], [0.3333, 0.6667, 0.2490], [0.3333, 0.6667, 0.7510]]
}

5.
{
  "formula": "AsPPd4C2",
  "functional": "GGA-PBE",
  "state": "relaxed",
  "e_tot_ev_per_cell": -44.08,
  "mass_density_g_cm3": 8.29,
  "lattice": [[3.2456, 0.0000, 0.0000], [-1.6228, 2.8108, 0.0000], [0.0000, 0.0000, 12.1994]],
  "species": ["As", "P", "Pd", "Pd", "Pd", "Pd", "C", "C"],
  "frac_coords": [[0.0000, 0.0000, 0.0000], [0.6667, 0.3333, 0.5000], [0.0000, 0.0000, 0.3647], [0.0000, 0.0000, 0.6353], [0.6667, 0.3333, 0.1722], [0.6667, 0.3333, 0.8278], [0.3333, 0.6667, 0.2548], [0.3333, 0.6667, 0.7452]]
}

6.
{
  "formula": "Ta4AsPC2",
  "functional": "GGA-PBE",
  "state": "relaxed",
  "e_tot_ev_per_cell": -81.24,
  "mass_density_g_cm3": 12.67,
  "magmom_total_mub_per_cell": 0.00,
  "lattice": [[3.3138, 0.0000, 0.0000], [-1.6569, 2.8698, 0.0000], [0.0000, 0.0000, 11.7685]],
  "species": ["Ta", "Ta", "Ta", "Ta", "As", "P", "C", "C"],
  "frac_coords": [[0.0000, 0.0000, 0.1466], [0.0000, 0.0000, 0.8534], [0.3333, 0.6667, 0.3400], [0.3333, 0.6667, 0.6600], [0.0000, 0.0000, 0.5000], [0.3333, 0.6667, 0.0000], [0.6667, 0.3333, 0.2454], [0.6667, 0.3333, 0.7546]]
}

Copy entry 3 word for word.
{
  "formula": "Zr4NiAsC2",
  "functional": "GGA-PBE",
  "state": "relaxed",
  "e_tot_ev_per_cell": -68.59,
  "mass_density_g_cm3": 6.75,
  "magmom_total_mub_per_cell": 0.01,
  "lattice": [[3.4138, 0.0000, 0.0000], [-1.7069, 2.9564, 0.0000], [0.0000, 0.0000, 12.7367]],
  "species": ["Zr", "Zr", "Zr", "Zr", "Ni", "As", "C", "C"],
  "frac_coords": [[0.0000, 0.0000, 0.1458], [0.0000, 0.0000, 0.8542], [0.3333, 0.6667, 0.3473], [0.3333, 0.6667, 0.6527], [0.3333, 0.6667, 0.0000], [0.0000, 0.0000, 0.5000], [0.6667, 0.3333, 0.2489], [0.6667, 0.3333, 0.7511]]
}

Please write out number 6 again, unchanged.
{
  "formula": "Ta4AsPC2",
  "functional": "GGA-PBE",
  "state": "relaxed",
  "e_tot_ev_per_cell": -81.24,
  "mass_density_g_cm3": 12.67,
  "magmom_total_mub_per_cell": 0.00,
  "lattice": [[3.3138, 0.0000, 0.0000], [-1.6569, 2.8698, 0.0000], [0.0000, 0.0000, 11.7685]],
  "species": ["Ta", "Ta", "Ta", "Ta", "As", "P", "C", "C"],
  "frac_coords": [[0.0000, 0.0000, 0.1466], [0.0000, 0.0000, 0.8534], [0.3333, 0.6667, 0.3400], [0.3333, 0.6667, 0.6600], [0.0000, 0.0000, 0.5000], [0.3333, 0.6667, 0.0000], [0.6667, 0.3333, 0.2454], [0.6667, 0.3333, 0.7546]]
}